Below is NiPtBr4 at its PBEsol-relaxed geometry, with properties calculated at the meta-GGA SCAN level.

Values from the calculation:
**Formation energy without anion corrections**: 1.621 eV/atom

Unit cell a=5.7838 b=5.7838 c=5.7838 alpha=60.00 beta=60.00 gamma=60.00
Atoms (fractional coordinates):
Br 0.8758 0.3747 0.3747
Br 0.3747 0.3747 0.3747
Br 0.3747 0.3747 0.8758
Br 0.3747 0.8758 0.3747
Ni 0.7500 0.7500 0.7500
Pt 0.0000 0.0000 0.0000